Entry from the Alexandria database: a relaxed SrReIN2 crystal (PBE-GGA).

Summary:
As for the space group: P4/mmm, No. 123. Its density of states at the Fermi level is 0.804 states/eV per atom. Its uncorrected formation energy is 2.2953 eV per atom.

Structure (CIF):
```
data_SrReIN2
_chemical_formula_sum 'Sr1 Re1 I1 N2'
_symmetry_space_group_name_H-M 'P 1'
_symmetry_Int_Tables_number 1
_cell_length_a 4.892
_cell_length_b 4.892
_cell_length_c 6.750
_cell_angle_alpha 90.00
_cell_angle_beta 90.00
_cell_angle_gamma 90.00
loop_
_symmetry_equiv_pos_as_xyz
'x,y,z'
loop_
_atom_site_label
_atom_site_fract_x
_atom_site_fract_y
_atom_site_fract_z
_atom_site_occupancy
Sr1 0.000 0.000 0.000 1
Re1 0.500 0.500 0.500 1
N1 0.500 0.000 0.000 1
N2 0.000 0.500 0.000 1
I1 0.000 0.000 0.500 1
```